Entry 1:
A plane-wave DFT calculation with PBE was carried out for Rb2YBiS4 after structural relaxation.

## Properties
Spin magnetization, μB/cell: 0.0
Symmetry: P2/m, No. 10
Total DFT energy (no corrections), eV per atom: -4.92

a = 7.199 Å, b = 4.136 Å, c = 8.046 Å
α = 90.00°, β = 107.14°, γ = 90.00°
Fractional positions:
1 Rb 0.000 0.000 0.000
2 Rb 0.500 0.500 0.000
3 Y 0.000 0.500 0.500
4 Bi 0.500 0.000 0.500
5 S 0.224 0.000 0.694
6 S 0.259 0.500 0.302
7 S 0.741 0.500 0.698
8 S 0.776 0.000 0.306

***

Entry 2:
A plane-wave DFT calculation with PBE was carried out for MnCdSb4 after structural relaxation.

## Properties
Spin magnetization, μB/cell: 5.2
Symmetry: F-43m, No. 216
Total DFT energy (no corrections), eV per atom: -3.91

a = 6.228 Å, b = 6.228 Å, c = 6.228 Å
α = 60.00°, β = 60.00°, γ = 60.00°
Fractional positions:
1 Mn 0.000 0.000 0.000
2 Cd 0.250 0.250 0.250
3 Sb 0.125 0.625 0.625
4 Sb 0.625 0.125 0.625
5 Sb 0.625 0.625 0.125
6 Sb 0.625 0.625 0.625

***

Entry 3:
A plane-wave DFT calculation with PBE was carried out for LiTbZr2S4 after structural relaxation.

## Properties
Spin magnetization, μB/cell: 0.0
Symmetry: P2/m, No. 10
Total DFT energy (no corrections), eV per atom: -6.64

a = 6.380 Å, b = 3.703 Å, c = 6.695 Å
α = 90.00°, β = 108.21°, γ = 90.00°
Fractional positions:
1 Li 0.000 0.000 0.000
2 Tb 0.500 0.500 0.000
3 Zr 0.000 0.500 0.500
4 Zr 0.500 0.000 0.500
5 S 0.236 0.000 0.746
6 S 0.242 0.500 0.252
7 S 0.758 0.500 0.748
8 S 0.764 0.000 0.254

***

Entry 4:
A plane-wave DFT calculation with PBE was carried out for Dy2HgPb4 after structural relaxation.

## Properties
Spin magnetization, μB/cell: 0.0
Symmetry: C2/m, No. 12
Total DFT energy (no corrections), eV per atom: -3.57
E_form, eV/atom: -0.0940

a = 8.221 Å, b = 8.221 Å, c = 8.270 Å
α = 115.08°, β = 115.08°, γ = 24.89°
Fractional positions:
1 Dy 0.216 0.216 0.146
2 Dy 0.784 0.784 0.854
3 Hg 0.000 0.000 0.000
4 Pb 0.081 0.081 0.711
5 Pb 0.352 0.352 0.585
6 Pb 0.648 0.648 0.415
7 Pb 0.919 0.919 0.289

***

Entry 5:
A plane-wave DFT calculation with PBE was carried out for KSrSn2 after structural relaxation.

## Properties
Spin magnetization, μB/cell: 0.0
Symmetry: Fm-3m, No. 225
Total DFT energy (no corrections), eV per atom: -2.95
E_form, eV/atom: -0.2548

a = 5.768 Å, b = 5.768 Å, c = 5.768 Å
α = 60.00°, β = 60.00°, γ = 60.00°
Fractional positions:
1 K 0.000 0.000 0.000
2 Sr 0.500 0.500 0.500
3 Sn 0.250 0.250 0.250
4 Sn 0.750 0.750 0.750

***

Entry 6:
A plane-wave DFT calculation with PBE was carried out for TlRe3O12 after structural relaxation.

## Properties
Spin magnetization, μB/cell: 0.3
Symmetry: R3c, No. 161
Total DFT energy (no corrections), eV per atom: -7.61

a = 9.983 Å, b = 9.983 Å, c = 9.983 Å
α = 63.32°, β = 63.32°, γ = 63.32°
Fractional positions:
1 Tl 0.000 0.000 0.000
2 Tl 0.500 0.500 0.500
3 Re 0.173 0.838 0.349
4 Re 0.338 0.673 0.849
5 Re 0.349 0.173 0.838
6 Re 0.673 0.849 0.338
7 Re 0.838 0.349 0.173
8 Re 0.849 0.338 0.673
9 O 0.007 0.393 0.520
10 O 0.020 0.893 0.507
11 O 0.100 0.861 0.205
12 O 0.137 0.789 0.916
13 O 0.205 0.100 0.861
14 O 0.267 0.289 0.959
15 O 0.289 0.637 0.416
16 O 0.289 0.959 0.267
17 O 0.361 0.600 0.705
18 O 0.393 0.520 0.007
19 O 0.416 0.289 0.637
20 O 0.459 0.789 0.767
21 O 0.507 0.020 0.893
22 O 0.520 0.007 0.393
23 O 0.600 0.705 0.361
24 O 0.637 0.416 0.289
25 O 0.705 0.361 0.600
26 O 0.767 0.459 0.789
27 O 0.789 0.767 0.459
28 O 0.789 0.916 0.137
29 O 0.861 0.205 0.100
30 O 0.893 0.507 0.020
31 O 0.916 0.137 0.789
32 O 0.959 0.267 0.289